[1]
The following is a DFT calculation (PBE-GGA) of an optimized crystal structure of NdZn4Au6.

Computed properties:
Space-group type   No. 121
VASP energy   -32.04 eV/f.u.
N(E_F)   4.04 states/eV/f.u.
Formation energy   -0.23 eV/atom

a = 6.823 Å, b = 6.823 Å, c = 6.823 Å
α = 88.70°, β = 120.75°, γ = 120.75°
Positions (direct):
Au 0.000 0.464 0.891
Au 0.000 0.891 0.464
Au 0.573 0.109 0.109
Zn 0.317 0.755 0.755
Nd 0.000 0.000 0.000
Au 0.427 0.536 0.536
Zn 0.000 0.245 0.561
Zn 0.000 0.561 0.245
Au 0.500 0.500 0.000
Zn 0.683 0.439 0.439
Au 0.500 0.000 0.500

[2]
The following is a DFT calculation (PBE-GGA) of an optimized crystal structure of Y3ThAl8.

Computed properties:
Space-group type   No. 160
VASP energy   -62.75 eV/f.u.
Excess energy over the best structure of this formula in the dataset   0 meV per atom
N(E_F)   9.19 states/eV/f.u.
Formation energy   -0.50 eV/atom

a = 5.605 Å, b = 5.605 Å, c = 9.714 Å
α = 73.23°, β = 73.23°, γ = 60.00°
Positions (direct):
Th 0.875 0.875 0.375
Al 0.688 0.688 0.936
Al 0.437 0.937 0.690
Al 0.438 0.939 0.185
Al 0.187 0.187 0.439
Y 0.001 0.001 0.998
Al 0.937 0.437 0.690
Y 0.499 0.499 0.502
Al 0.937 0.937 0.690
Y 0.375 0.375 0.875
Al 0.939 0.438 0.185
Al 0.438 0.438 0.185

[3]
The following is a DFT calculation (PBE-GGA) of an optimized crystal structure of MgZnSe4.

Computed properties:
Space-group type   No. 216
VASP energy   -14.92 eV/f.u.
Excess energy over the best structure of this formula in the dataset   592 meV per atom
N(E_F)   3.30 states/eV/f.u.
Formation energy from raw total energies   314 meV per atom

a = 5.769 Å, b = 5.769 Å, c = 5.769 Å
α = 60.00°, β = 60.00°, γ = 60.00°
Positions (direct):
Se 0.375 0.375 0.375
Se 0.874 0.375 0.375
Se 0.375 0.874 0.375
Mg 0.000 0.000 0.000
Zn 0.750 0.750 0.750
Se 0.375 0.375 0.874

[4]
The following is a DFT calculation (PBE-GGA) of an optimized crystal structure of NdHoCoAu.

Computed properties:
Space-group type   No. 216
VASP energy   -21.20 eV/f.u.
N(E_F)   3.31 states/eV/f.u.
Formation energy   -0.37 eV/atom

a = 5.012 Å, b = 5.012 Å, c = 5.012 Å
α = 60.00°, β = 60.00°, γ = 60.00°
Site moments in Bohr magnetons follow the coordinates.
Positions (direct):
Au 0.000 0.000 0.000  -0.01
Co 0.500 0.500 0.500  0.89
Ho 0.750 0.750 0.750  -0.14
Nd 0.250 0.250 0.250  -0.07

[5]
The following is a DFT calculation (PBE-GGA) of an optimized crystal structure of CaRu2.

Computed properties:
Space-group type   No. 8
VASP energy   -19.29 eV/f.u.
N(E_F)   2.74 states/eV/f.u.
Formation energy   0.42 eV/atom

a = 5.279 Å, b = 5.279 Å, c = 8.317 Å
α = 72.55°, β = 72.55°, γ = 31.40°
Positions (direct):
Ru 0.946 0.946 0.670
Ca 0.966 0.966 0.011
Ru 0.256 0.256 0.882
Ca 0.342 0.342 0.411
Ru 0.650 0.650 0.694
Ru 0.672 0.672 0.165

[6]
The following is a DFT calculation (PBE-GGA) of an optimized crystal structure of CeErSc2.

Computed properties:
Space-group type   No. 123
VASP energy   -22.87 eV/f.u.
Excess energy over the best structure of this formula in the dataset   0 meV per atom
N(E_F)   8.10 states/eV/f.u.
Formation energy   0.07 eV/atom

a = 3.432 Å, b = 3.432 Å, c = 9.199 Å
α = 90.00°, β = 90.00°, γ = 90.00°
Site moments in Bohr magnetons follow the coordinates.
Positions (direct):
Sc 0.000 0.000 0.256  0.01
Er 0.500 0.500 0.000  -0.01
Ce 0.500 0.500 0.500  0.39
Sc 0.000 0.000 0.744  0.01

[7]
The following is a DFT calculation (PBE-GGA) of an optimized crystal structure of LiTmPaSe4.

Computed properties:
Space-group type   No. 74
VASP energy   -40.49 eV/f.u.
N(E_F)   5.75 states/eV/f.u.
Formation energy from raw total energies   -1525 meV per atom

a = 8.377 Å, b = 8.260 Å, c = 8.177 Å
α = 119.67°, β = 90.00°, γ = 120.47°
Site moments in Bohr magnetons follow the coordinates.
Positions (direct):
Se 0.256 0.511 0.747  -0.02
Se 0.741 0.012 0.256  -0.01
Se 0.256 0.511 0.265  -0.02
Li 0.883 0.766 0.133  0.00
Se 0.730 0.988 0.744  -0.01
Pa 0.500 0.500 0.500  0.97
Tm 0.500 0.000 0.500  0.02
Se 0.270 0.012 0.256  -0.01
Pa 0.000 0.500 0.500  0.97
Se 0.259 0.988 0.744  -0.01
Se 0.744 0.489 0.253  -0.02
Se 0.744 0.489 0.735  -0.02
Tm 0.500 0.000 0.000  0.02
Li 0.117 0.234 0.867  0.00

[8]
The following is a DFT calculation (PBE-GGA) of an optimized crystal structure of Er7CCl12.

Computed properties:
Space-group type   No. 148
VASP energy   -101.05 eV/f.u.
N(E_F)   10.72 states/eV/f.u.
Formation energy from raw total energies   -1887 meV per atom

a = 8.480 Å, b = 8.480 Å, c = 8.480 Å
α = 107.63°, β = 107.63°, γ = 107.63°
Positions (direct):
Er 0.106 0.032 0.311
Cl 0.922 0.313 0.776
Cl 0.313 0.776 0.922
Cl 0.614 0.532 0.843
Cl 0.687 0.224 0.078
Cl 0.224 0.078 0.687
Er 0.311 0.106 0.032
Er 0.968 0.689 0.894
Cl 0.157 0.386 0.468
Cl 0.843 0.614 0.532
Er 0.500 0.500 0.500
Er 0.689 0.894 0.968
Cl 0.468 0.157 0.386
Er 0.032 0.311 0.106
Cl 0.078 0.687 0.224
Er 0.894 0.968 0.689
Cl 0.776 0.922 0.313
C 0.000 0.000 0.000
Cl 0.532 0.843 0.614
Cl 0.386 0.468 0.157